The following is a PBE calculation of RbBaO2 after structural relaxation, from Alexandria via LeMat-Bulk.

POSCAR file:
```
RbBaO2
1.0
-0.409 -3.716 1.314
1.463 -3.019 -2.108
6.363 -1.705 3.136
O Rb Ba
2 1 1
direct
0.265 0.265 0.204
0.070 0.070 0.789
0.496 0.496 0.511
0.668 0.668 0.996
```

Computed properties:
Formation energy from raw total energies in eV per atom: -1.5572